RbMgPb4 | Alexandria via LeMat-Bulk | PBE | optimized geometry; calculated total energy = -2.676 eV per atom; relative energy among the computed polymorphs = 295 meV per atom; calculated formation energy = 5.156 kcal/mol of atoms; magnetic moment = 0.00 μB per atom
1.0
-6.7140 -2.2350 -2.6733
2.4788 -7.1421 -0.2545
-2.7626 -1.2431 7.9777
Rb Mg Pb
2 2 8
Cartesian
-4.7383 -1.7390 2.6522
-0.1419 -4.1926 3.8616
-2.1176 -4.6885 -1.4639
0.0000 0.0000 0.0000
-3.9857 -2.5094 -1.7712
-4.1101 -6.5344 -2.4415
-0.1251 -2.8427 -0.4863
-0.2495 -6.8677 -1.1566
-0.9008 -0.4054 2.6013
-3.9794 -5.5263 3.9124
-1.8618 -0.8378 5.3763
-3.0184 -5.0939 1.1374

=====

RbMg3Pb4 | Alexandria via LeMat-Bulk | PBE | optimized geometry; calculated total energy = -2.594 eV per atom; calculated formation energy = -0.489 kcal/mol of atoms; magnetic moment = 0.00 μB per atom
1.0
5.3826 0.0000 0.0000
0.0000 5.3826 0.0000
0.0000 0.0000 9.0562
Pb Mg Rb
4 3 1
Cartesian
0.0000 2.6913 1.6021
0.0000 2.6913 7.4541
2.6913 0.0000 7.4541
2.6913 0.0000 1.6021
0.0000 0.0000 0.0000
2.6913 2.6913 3.0161
2.6913 2.6913 6.0401
0.0000 0.0000 4.5281

=====

Rb2MgPb2 | Alexandria via LeMat-Bulk | PBE | optimized geometry; calculated total energy = -2.188 eV per atom; relative energy among the computed polymorphs = 74 meV per atom; calculated formation energy = 0.031 kcal/mol of atoms; magnetic moment = 0.00 μB per atom
1.0
8.0247 0.0000 0.0000
0.0000 8.0247 0.0000
0.0000 0.0000 6.2791
Pb Mg Rb
4 2 4
Cartesian
2.9046 6.9169 0.0000
6.9169 5.1200 0.0000
5.1200 1.1077 0.0000
1.1077 2.9046 0.0000
0.0000 0.0000 0.0000
4.0123 4.0123 0.0000
1.3938 5.4061 3.1395
5.4061 6.6309 3.1395
6.6309 2.6186 3.1395
2.6186 1.3938 3.1395